No. 1
TbPm4Tm6 | PBE | optimized geometry Values from VASP.

Properties
* space group: I-42m (121)
* relative energy among the computed polymorphs: 137 meV/atom
* E: -4.2860 eV per atom

Structure (Quantum ESPRESSO input):
```
&SYSTEM
  ibrav = 0, nat = 11, ntyp = 3
/
ATOMIC_SPECIES
Tb 158.93 Tb.upf
Pm 145.00 Pm.upf
Tm 168.93 Tm.upf
CELL_PARAMETERS angstrom
-3.304 3.304 8.441
3.304 -3.304 8.441
3.304 3.304 -8.441
ATOMIC_POSITIONS crystal
Tb 0.000 0.000 0.000
Pm 0.014 0.636 0.000
Pm 0.364 0.364 0.378
Pm 0.636 0.014 0.000
Pm 0.986 0.986 0.622
Tm 0.000 0.500 0.500
Tm 0.196 0.196 0.643
Tm 0.447 0.804 0.000
Tm 0.500 0.000 0.500
Tm 0.553 0.553 0.357
Tm 0.804 0.447 0.000
```

No. 2
Tb2Pm6Tm | PBE | optimized geometry Values from VASP.

Properties
* space group: Cmmm (65)
* relative energy among the computed polymorphs: 46 meV/atom
* E: -4.5619 eV per atom

Structure (Quantum ESPRESSO input):
```
&SYSTEM
  ibrav = 0, nat = 9, ntyp = 3
/
ATOMIC_SPECIES
Tb 158.93 Tb.upf
Pm 145.00 Pm.upf
Tm 168.93 Tm.upf
CELL_PARAMETERS angstrom
4.695 -8.827 0.000
4.695 8.827 0.000
0.000 0.000 3.648
ATOMIC_POSITIONS crystal
Tb 0.176 0.824 0.000
Tb 0.824 0.176 0.000
Pm 0.160 0.489 0.500
Pm 0.315 0.315 0.000
Pm 0.489 0.160 0.500
Pm 0.511 0.840 0.500
Pm 0.685 0.685 0.000
Pm 0.840 0.511 0.500
Tm 0.000 0.000 0.500
```

No. 3
Tb5PmTm | PBE | optimized geometry Values from VASP.

Properties
* space group: C2/c (15)
* relative energy among the computed polymorphs: 0 meV/atom
* E: -4.4372 eV per atom

Structure (Quantum ESPRESSO input):
```
&SYSTEM
  ibrav = 0, nat = 14, ntyp = 3
/
ATOMIC_SPECIES
Tb 158.93 Tb.upf
Pm 145.00 Pm.upf
Tm 168.93 Tm.upf
CELL_PARAMETERS angstrom
5.866 -3.369 0.000
5.866 3.369 0.000
-4.440 0.000 11.458
ATOMIC_POSITIONS crystal
Tb 0.088 0.348 0.743
Tb 0.091 0.909 0.750
Tb 0.157 0.684 0.999
Tb 0.316 0.843 0.501
Tb 0.348 0.088 0.243
Tb 0.652 0.912 0.757
Tb 0.684 0.157 0.499
Tb 0.843 0.316 0.001
Tb 0.909 0.091 0.250
Tb 0.912 0.652 0.257
Pm 0.468 0.532 0.250
Pm 0.532 0.468 0.750
Tm 0.000 0.500 0.500
Tm 0.500 0.000 0.000
```

No. 4
Tb5PmTm3 | PBE | optimized geometry Values from VASP.

Properties
* space group: Imma (74)
* relative energy among the computed polymorphs: 0 meV/atom
* E: -4.5262 eV per atom

Structure (Quantum ESPRESSO input):
```
&SYSTEM
  ibrav = 0, nat = 18, ntyp = 3
/
ATOMIC_SPECIES
Tb 158.93 Tb.upf
Pm 145.00 Pm.upf
Tm 168.93 Tm.upf
CELL_PARAMETERS angstrom
-3.493 8.388 4.837
3.493 -8.388 4.837
3.493 8.388 -4.837
ATOMIC_POSITIONS crystal
Tb 0.156 0.075 0.081
Tb 0.178 0.591 0.587
Tb 0.189 0.939 0.250
Tb 0.493 0.075 0.419
Tb 0.495 0.409 0.087
Tb 0.505 0.591 0.913
Tb 0.507 0.925 0.581
Tb 0.811 0.061 0.750
Tb 0.822 0.409 0.413
Tb 0.844 0.925 0.919
Pm 0.142 0.392 0.750
Pm 0.858 0.608 0.250
Tm 0.170 0.000 0.670
Tm 0.170 0.500 0.170
Tm 0.500 0.000 0.000
Tm 0.500 0.500 0.500
Tm 0.830 0.000 0.330
Tm 0.830 0.500 0.830
```

No. 5
TbPm3Tm | PBE | optimized geometry Values from VASP.

Properties
* space group: Cmc2_1 (36)
* relative energy among the computed polymorphs: 26 meV/atom
* E: -4.6275 eV per atom

Structure (Quantum ESPRESSO input):
```
&SYSTEM
  ibrav = 0, nat = 10, ntyp = 3
/
ATOMIC_SPECIES
Tb 158.93 Tb.upf
Pm 145.00 Pm.upf
Tm 168.93 Tm.upf
CELL_PARAMETERS angstrom
2.756 -8.450 0.000
2.756 8.450 0.000
0.000 0.000 7.103
ATOMIC_POSITIONS crystal
Tb 0.110 0.890 0.500
Tb 0.890 0.110 0.000
Pm 0.109 0.891 0.997
Pm 0.300 0.700 0.749
Pm 0.500 0.500 0.247
Pm 0.500 0.500 0.747
Pm 0.700 0.300 0.249
Pm 0.891 0.109 0.497
Tm 0.301 0.699 0.249
Tm 0.699 0.301 0.749
```

No. 6
Tb2Pm3Tm4 | PBE | optimized geometry Values from VASP.

Properties
* space group: C2/c (15)
* relative energy among the computed polymorphs: 0 meV/atom
* E: -4.4977 eV per atom

Structure (Quantum ESPRESSO input):
```
&SYSTEM
  ibrav = 0, nat = 18, ntyp = 3
/
ATOMIC_SPECIES
Tb 158.93 Tb.upf
Pm 145.00 Pm.upf
Tm 168.93 Tm.upf
CELL_PARAMETERS angstrom
8.161 -5.795 0.000
8.161 5.795 0.000
-0.738 0.000 6.056
ATOMIC_POSITIONS crystal
Tb 0.011 0.774 0.714
Tb 0.226 0.989 0.786
Tb 0.774 0.011 0.214
Tb 0.989 0.226 0.286
Pm 0.143 0.857 0.250
Pm 0.189 0.482 0.414
Pm 0.482 0.189 0.914
Pm 0.518 0.811 0.086
Pm 0.811 0.518 0.586
Pm 0.857 0.143 0.750
Tm 0.115 0.345 0.871
Tm 0.326 0.555 0.959
Tm 0.345 0.115 0.371
Tm 0.445 0.674 0.541
Tm 0.555 0.326 0.459
Tm 0.655 0.885 0.629
Tm 0.674 0.445 0.041
Tm 0.885 0.655 0.129
```

The records above give, respectively, N(E_F) values of 13.41; 11.81; 7.64; 15.06; 7.31; 13.06 states/eV/f.u..